# TaTi2H4 | Alexandria via LeMat-Bulk | GGA-PBE | relaxed
data_TaTi2H4
_cell_length_a 5.584
_cell_length_b 5.584
_cell_length_c 5.584
_cell_angle_alpha 120.03
_cell_angle_beta 119.91
_cell_angle_gamma 90.05
_space_group_name_H-M_alt 'P 1'
_space_group_IT_number 1
loop_
_space_group_symop_operation_xyz
'x,y,z'
loop_
_atom_site_label
_atom_site_type_symbol
_atom_site_fract_x
_atom_site_fract_y
_atom_site_fract_z
_atom_site_occupancy
Ta1 Ta 0.376 0.126 0.250 1
Ta2 Ta 0.624 0.874 0.750 1
Ti1 Ti 0.000 0.000 0.500 1
Ti2 Ti 0.000 0.500 0.000 1
Ti3 Ti 0.000 0.500 0.500 1
Ti4 Ti 0.500 0.500 0.000 1
H1 H 0.209 0.737 0.473 1
H2 H 0.236 0.263 0.973 1
H3 H 0.237 0.264 0.527 1
H4 H 0.237 0.710 0.973 1
H5 H 0.763 0.290 0.027 1
H6 H 0.763 0.736 0.473 1
H7 H 0.764 0.737 0.027 1
H8 H 0.791 0.263 0.527 1
# DFT total energy = -86.6 eV for the cell shown
# space group = No. 74
# energy above the lowest structure with this stoichiometry = 0.000 kcal/mol of atoms